# 1
The following is a PBE calculation of crystalline MgSc4Zn2Ag at its relaxed geometry, from Alexandria.

Lattice parameters (Å, degrees): 4.8404 4.8404 23.7948 90.00 90.00 120.00
Space group R-3m (No. 166, hexagonal axes)
One atom of each set of equivalent atoms:
Mg 0.0000 0.0000 0.0000
Sc 0.0000 0.0000 0.1275
Sc 0.0000 0.0000 0.3787
Zn 0.0000 0.0000 0.2564
Ag 0.0000 0.0000 0.5000

Results
Electronic total energy, eV per atom: -4.30
Volume, Å³/cell: 482.8
Energy relative to the elements, eV/atom: -0.26



# 2
The following is a PBE calculation of crystalline MgZrScAg at its relaxed geometry, from Alexandria.

Lattice parameters (Å, degrees): 3.1803 3.1803 8.4514 90.00 90.00 90.00
Space group P4mm (No. 99)
One atom of each set of equivalent atoms:
Mg 0.0000 0.0000 0.0000
Zr 0.5000 0.5000 0.2803
Sc 0.0000 0.0000 0.5409
Ag 0.5000 0.5000 0.7815

Results
Electronic total energy, eV per atom: -4.97
Volume, Å³/cell: 85.5
Energy relative to the elements, eV/atom: -0.14



volume of number 2 (MgZrScAg)? 85.5 Å³/cell



What did the second record say?
The following is a PBE calculation of crystalline MgZrScAg at its relaxed geometry, from Alexandria.

Lattice parameters (Å, degrees): 3.1803 3.1803 8.4514 90.00 90.00 90.00
Space group P4mm (No. 99)
One atom of each set of equivalent atoms:
Mg 0.0000 0.0000 0.0000
Zr 0.5000 0.5000 0.2803
Sc 0.0000 0.0000 0.5409
Ag 0.5000 0.5000 0.7815

Results
Electronic total energy, eV per atom: -4.97
Volume, Å³/cell: 85.5
Energy relative to the elements, eV/atom: -0.14



What is the formula in the second record? MgZrScAg